Entry 1:
Crystalline Zr4Ta2S3N3 at its relaxed geometry, computed with GGA-PBE.

Results
raw total energy	-9.240	eV/atom
spin magnetization	0.00	μB per formula unit
symmetry	C2/c (15)

Cell: 5.7921 5.7921 12.3774 Å, 103.48 103.48 60.08°
Positions (direct):
Zr (0.0363, 0.1991, 0.1013)
Zr (0.1317, 0.2992, 0.3987)
Zr (0.1991, 0.0363, 0.6013)
Zr (0.2992, 0.1317, 0.8987)
Zr (0.7008, 0.8683, 0.1013)
Zr (0.8009, 0.9637, 0.3987)
Zr (0.8683, 0.7008, 0.6013)
Zr (0.9637, 0.8009, 0.8987)
Ta (0.3613, 0.5288, 0.0880)
Ta (0.4712, 0.6387, 0.4120)
Ta (0.5288, 0.3613, 0.5880)
Ta (0.6387, 0.4712, 0.9120)
S (0.1033, 0.8967, 0.2500)
S (0.2684, 0.4176, 0.7507)
S (0.4176, 0.2684, 0.2507)
S (0.5824, 0.7316, 0.7493)
S (0.7316, 0.5824, 0.2493)
S (0.8967, 0.1033, 0.7500)
N (0.0000, 0.5000, 0.0000)
N (0.1716, 0.6648, 0.5002)
N (0.3352, 0.8284, 0.9998)
N (0.5000, 0.0000, 0.5000)
N (0.6648, 0.1716, 0.0002)
N (0.8284, 0.3352, 0.4998)


Entry 2:
Crystalline YCuAsIr at its relaxed geometry, computed with GGA-PBE.

Results
raw total energy	-6.097	eV/atom
spin magnetization	0.00	μB per formula unit
symmetry	F-43m (216)

Cell: 4.6637 4.6637 4.6637 Å, 60.00 60.00 60.00°
Positions (direct):
Y (0.0000, 0.0000, 0.0000)
Cu (0.5000, 0.5000, 0.5000)
As (0.7500, 0.7500, 0.7500)
Ir (0.2500, 0.2500, 0.2500)


Entry 3:
Crystalline Cu2Te at its relaxed geometry, computed with GGA-PBE.

Results
raw total energy	-3.546	eV/atom
symmetry	P-3m1 (164)

Cell: 8.5042 8.5042 26.5768 Å, 90.00 90.00 120.00°
Positions (direct):
Cu (0.0000, 0.0000, 0.1089)
Cu (0.0000, 0.0000, 0.2011)
Cu (0.0000, 0.0000, 0.7989)
Cu (0.0000, 0.0000, 0.8911)
Cu (0.0045, 0.5023, 0.8144)
Cu (0.0240, 0.5120, 0.0893)
Cu (0.1646, 0.3292, 0.1569)
Cu (0.1646, 0.8354, 0.1569)
Cu (0.1756, 0.3512, 0.8788)
Cu (0.1756, 0.8244, 0.8788)
Cu (0.3292, 0.1646, 0.8431)
Cu (0.3333, 0.6667, 0.0404)
Cu (0.3333, 0.6667, 0.8347)
Cu (0.3512, 0.1756, 0.1212)
Cu (0.4880, 0.5120, 0.0893)
Cu (0.4880, 0.9760, 0.0893)
Cu (0.4977, 0.5023, 0.8144)
Cu (0.4977, 0.9955, 0.8144)
Cu (0.5023, 0.0045, 0.1856)
Cu (0.5023, 0.4977, 0.1856)
Cu (0.5120, 0.0240, 0.9107)
Cu (0.5120, 0.4880, 0.9107)
Cu (0.6488, 0.8244, 0.8788)
Cu (0.6667, 0.3333, 0.1653)
Cu (0.6667, 0.3333, 0.9596)
Cu (0.6708, 0.8354, 0.1569)
Cu (0.8244, 0.1756, 0.1212)
Cu (0.8244, 0.6488, 0.1212)
Cu (0.8354, 0.1646, 0.8431)
Cu (0.8354, 0.6708, 0.8431)
Cu (0.9760, 0.4880, 0.9107)
Cu (0.9955, 0.4977, 0.1856)
Te (0.1558, 0.3115, 0.0571)
Te (0.1558, 0.8442, 0.0571)
Te (0.1693, 0.3387, 0.7773)
Te (0.1693, 0.8307, 0.7773)
Te (0.3115, 0.1558, 0.9429)
Te (0.3333, 0.6667, 0.2066)
Te (0.3333, 0.6667, 0.9369)
Te (0.3387, 0.1693, 0.2227)
Te (0.6613, 0.8307, 0.7773)
Te (0.6667, 0.3333, 0.0631)
Te (0.6667, 0.3333, 0.7934)
Te (0.6885, 0.8442, 0.0571)
Te (0.8307, 0.1693, 0.2227)
Te (0.8307, 0.6613, 0.2227)
Te (0.8442, 0.1558, 0.9429)
Te (0.8442, 0.6885, 0.9429)


Entry 4:
Crystalline SrInTc at its relaxed geometry, computed with GGA-PBE.

Results
raw total energy	-4.435	eV/atom
spin magnetization	1.33	μB per formula unit
symmetry	P4/nmm (129)

Cell: 4.5402 4.5402 7.7203 Å, 90.00 90.00 90.00°
Positions (direct):
Sr (0.2500, 0.2500, 0.1537)
Sr (0.7500, 0.7500, 0.8463)
In (0.2500, 0.7500, 0.5000)
In (0.7500, 0.2500, 0.5000)
Tc (0.2500, 0.2500, 0.7144)
Tc (0.7500, 0.7500, 0.2856)


Entry 5:
Crystalline UZnW at its relaxed geometry, computed with GGA-PBE.

Results
raw total energy	-7.649	eV/atom
spin magnetization	0.06	μB per formula unit
symmetry	F-43m (216)

Cell: 4.4662 4.4662 4.4662 Å, 60.00 60.00 60.00°
Positions (direct):
U (0.0000, 0.0000, 0.0000)
Zn (0.5000, 0.5000, 0.5000)
W (0.7500, 0.7500, 0.7500)


Entry 6:
Crystalline UAlW at its relaxed geometry, computed with GGA-PBE.

Results
raw total energy	-8.722	eV/atom
spin magnetization	1.04	μB per formula unit
symmetry	F-43m (216)

Cell: 4.5059 4.5059 4.5059 Å, 60.00 60.00 60.00°
Positions (direct):
U (0.0000, 0.0000, 0.0000)
Al (0.5000, 0.5000, 0.5000)
W (0.2500, 0.2500, 0.2500)


Entry 7:
Crystalline Lu4Si3W2N3 at its relaxed geometry, computed with GGA-PBE.

Results
raw total energy	-7.968	eV/atom
spin magnetization	0.00	μB per formula unit
symmetry	C2/c (15)

Cell: 5.6660 5.6660 13.4471 Å, 102.07 102.07 60.15°
Positions (direct):
Lu (0.0345, 0.2020, 0.1023)
Lu (0.1332, 0.2973, 0.3979)
Lu (0.2020, 0.0345, 0.6023)
Lu (0.2973, 0.1332, 0.8979)
Lu (0.7027, 0.8668, 0.1021)
Lu (0.7980, 0.9655, 0.3977)
Lu (0.8668, 0.7027, 0.6021)
Lu (0.9655, 0.7980, 0.8977)
Si (0.1593, 0.8407, 0.2500)
Si (0.3293, 0.4132, 0.7505)
Si (0.4132, 0.3293, 0.2505)
Si (0.5868, 0.6707, 0.7495)
Si (0.6707, 0.5868, 0.2495)
Si (0.8407, 0.1593, 0.7500)
W (0.3652, 0.5280, 0.0846)
W (0.4720, 0.6348, 0.4154)
W (0.5280, 0.3652, 0.5846)
W (0.6348, 0.4720, 0.9154)
N (0.0000, 0.5000, 0.0000)
N (0.1651, 0.6672, 0.5000)
N (0.3328, 0.8349, 0.0000)
N (0.5000, 0.0000, 0.5000)
N (0.6672, 0.1651, 0.0000)
N (0.8349, 0.3328, 0.5000)


Entry 8:
Crystalline BeTePdO at its relaxed geometry, computed with GGA-PBE.

Results
raw total energy	-5.448	eV/atom
symmetry	P4/nmm (129)

Cell: 3.4128 3.4128 10.7413 Å, 90.00 90.00 90.00°
Positions (direct):
Be (0.2500, 0.2500, 0.0026)
Be (0.7500, 0.7500, 0.9974)
Te (0.2500, 0.2500, 0.3054)
Te (0.7500, 0.7500, 0.6946)
Pd (0.2500, 0.2500, 0.5772)
Pd (0.7500, 0.7500, 0.4228)
O (0.2500, 0.7500, 0.0000)
O (0.7500, 0.2500, 0.0000)